1.
Computed, not measured: YLuHgIr after structural relaxation at the PBE level of DFT.

Cell lengths 4.9906, 4.9906, 4.9906 Å; angles 60.00, 60.00, 60.00 degrees
With the nearest neighbours (Å) after each atom.
Atoms (fractional coordinates):
Y 0.0000 0.0000 0.0000  4 Hg 3.06, 4 Ir 3.06
Lu 0.5000 0.5000 0.5000  4 Hg 3.06, 4 Ir 3.06
Hg 0.7500 0.7500 0.7500  4 Y 3.06, 4 Lu 3.06
Ir 0.2500 0.2500 0.2500  4 Lu 3.06, 4 Y 3.06

## Properties
**Total energy**: -22.70 eV per cell
**Space-group type**: F-43m (216)

=====

2.
Computed, not measured: LiSiSn2 after structural relaxation at the PBE level of DFT.

Cell lengths 4.5311, 4.5311, 4.1836 Å; angles 90.00, 90.00, 90.00 degrees
With the nearest neighbours (Å) after each atom.
Atoms (fractional coordinates):
Li 0.0000 0.0000 0.0000  8 Sn 3.08, 4 Si 3.20
Si 0.5000 0.5000 0.0000  8 Sn 3.08, 4 Li 3.20
Sn 0.0000 0.5000 0.5000  4 Li 3.08, 4 Si 3.08, 4 Sn 3.20
Sn 0.5000 0.0000 0.5000  4 Li 3.08, 4 Si 3.08, 4 Sn 3.20

## Properties
**Space-group type**: P4/mmm (123)
**ΔE_f (raw)**: 0.0598 eV/atom